Material: TlFe4Pb
Method: DFT, PBE-GGA
State: optimized geometry

## Properties
For the formation energy, the calculation gives 0.42 eV/atom. As for the electronic total energy: -149.61 eV/cell.

a = 7.2972 Å, b = 7.2972 Å, c = 7.2972 Å
α = 90.00°, β = 90.00°, γ = 90.00°
Closest atoms and distances in Å follow each position.
Space group F-43m (No. 216)
Inequivalent atoms, fractional coordinates:
Tl 0.0000 0.0000 0.0000  12 Fe 3.02, 4 Pb 3.16
Fe 0.1255 0.1255 0.6255  6 Fe 2.57-2.59
Pb 0.2500 0.2500 0.2500  12 Fe 3.03, 4 Tl 3.16

=====

Material: Cr2CuRu
Method: DFT, PBE-GGA
State: optimized geometry

## Properties
For the formation energy, the calculation gives 0.24 eV/atom. As for the electronic total energy: -31.64 eV/cell.

a = 2.6604 Å, b = 3.5999 Å, c = 5.2235 Å
α = 90.00°, β = 90.00°, γ = 90.00°
Closest atoms and distances in Å follow each position.
Space group Pmm2 (No. 25)
Inequivalent atoms, fractional coordinates:
Cr 0.0000 0.0000 0.0000  4 Ru 2.55, 6 Cr 2.58-2.66, 2 Cu 2.59-2.64
Cr 0.5000 0.5000 0.2467  2 Ru 2.51-2.72, 6 Cr 2.58-2.66, 4 Cu 2.59
Cu 0.0000 0.0000 0.4949  6 Cr 2.59-2.64, 4 Ru 2.65, 2 Cu 2.66
Ru 0.5000 0.5000 0.7669  6 Cr 2.51-2.72, 4 Cu 2.65, 2 Ru 2.66

=====

Material: TlSnHg2I
Method: DFT, PBE-GGA
State: optimized geometry

## Properties
The calculation puts the polymorph energy (0 for the lowest one) at 50.97 kJ per mole of atoms. As for the electronic total energy: -6.38 eV/cell. The uncorrected formation energy comes out at 41 kJ per mole of atoms.

a = 6.7606 Å, b = 6.7606 Å, c = 5.9305 Å
α = 90.00°, β = 90.00°, γ = 90.00°
Closest atoms and distances in Å follow each position.
Space group P4/mmm (No. 123)
Inequivalent atoms, fractional coordinates:
Tl 0.0000 0.0000 0.0000  8 Hg 4.50, 4 Sn 4.78
Sn 0.5000 0.5000 0.0000  2 I 2.97
Hg 0.0000 0.5000 0.5000  2 I 3.38
I 0.5000 0.5000 0.5000  2 Sn 2.97

=====

Material: TlIr
Method: DFT, PBE-GGA
State: optimized geometry

## Properties
For the formation energy, the calculation gives 0.58 eV/atom. As for the electronic total energy: -20.12 eV/cell.

a = 2.9950 Å, b = 2.9950 Å, c = 10.9701 Å
α = 90.00°, β = 90.00°, γ = 120.00°
Closest atoms and distances in Å follow each position.
Space group P-3m1 (No. 164)
Inequivalent atoms, fractional coordinates:
Tl 0.3333 0.6667 0.1740  6 Tl 3.00, 3 Ir 3.10
Ir 0.3333 0.6667 0.5915  3 Ir 2.65

=====

Material: Ca3Br
Method: DFT, PBE-GGA
State: optimized geometry

## Properties
The calculation puts the polymorph energy (0 for the lowest one) at 7.88 kJ per mole of atoms. As for the electronic total energy: -40.15 eV/cell. The uncorrected formation energy comes out at -57 kJ per mole of atoms.

a = 11.2922 Å, b = 13.5731 Å, c = 3.9357 Å
α = 90.00°, β = 90.00°, γ = 90.00°
Closest atoms and distances in Å follow each position.
Space group Cmcm (No. 63)
Inequivalent atoms, fractional coordinates:
Ca 0.0000 0.1168 0.2500  8 Ca 3.73-3.94, 2 Br 4.05
Ca 0.2084 0.3721 0.2500  2 Br 3.07
Br 0.0000 0.3779 0.7500  4 Ca 3.07

=====

Material: Nb6AlOs
Method: DFT, PBE-GGA
State: optimized geometry

## Properties
For the formation energy, the calculation gives -0.27 eV/atom. The calculation puts the polymorph energy (0 for the lowest one) at 0.00 kJ per mole of atoms. As for the electronic total energy: -77.56 eV/cell.

a = 5.1843 Å, b = 5.1843 Å, c = 5.1843 Å
α = 90.00°, β = 90.00°, γ = 90.00°
Closest atoms and distances in Å follow each position.
Space group Pm-3 (No. 200)
Inequivalent atoms, fractional coordinates:
Nb 0.0000 0.2463 0.5000  2 Nb 2.55-2.63
Al 0.5000 0.5000 0.5000  12 Nb 2.91
Os 0.0000 0.0000 0.0000  12 Nb 2.89

=====

Material: Pr6HgIr3
Method: DFT, PBE-GGA
State: optimized geometry

## Properties
For the formation energy, the calculation gives -0.53 eV/atom. As for the electronic total energy: -121.68 eV/cell.

a = 12.1611 Å, b = 4.2972 Å, c = 12.2266 Å
α = 90.00°, β = 108.73°, γ = 90.00°
Closest atoms and distances in Å follow each position.
Space group P2_1/m (No. 11)
Inequivalent atoms, fractional coordinates:
Pr 0.0362 0.2500 0.3992  3 Ir 2.86-2.88
Pr 0.1088 0.2500 0.9537  4 Ir 2.91-2.97
Pr 0.2064 0.7500 0.2669  3 Ir 2.91-3.02
Pr 0.2729 0.7500 0.7710  3 Ir 2.84-3.04
Pr 0.3607 0.2500 0.5453  2 Ir 2.92
Pr 0.4338 0.7500 0.0944  3 Ir 2.86-2.91
Hg 0.4390 0.2500 0.3036  7 Pr 3.33-3.46
Ir 0.0438 0.2500 0.1678  6 Pr 2.86-2.97
Ir 0.1904 0.7500 0.5087  6 Pr 2.88-3.04
Ir 0.3405 0.2500 0.9302  6 Pr 2.84-2.92